one:
The following is a DFT calculation (PBEsol) of crystalline Li2ZrW at its relaxed geometry.

Lattice parameters (Å, degrees): 3.754 3.754 4.898 90.00 90.00 90.00
Element x y z (fractional)
Li: 0.000 0.500 0.000
Li: 0.500 0.000 0.000
Zr: 0.000 0.000 0.500
W: 0.500 0.500 0.500

Results
- M_tot: 0.000 μB per atom

---

two:
The following is a DFT calculation (PBEsol) of crystalline Li2ZrW at its relaxed geometry.

Lattice parameters (Å, degrees): 3.011 4.453 5.891 112.20 104.81 90.00
Element x y z (fractional)
Li: 0.264 0.264 0.528
Li: 0.736 0.736 0.472
W: 0.000 0.500 0.000
Zr: 0.500 0.000 0.000

Results
- M_tot: 0.000 μB per atom

---

Relative to the most stable one, in kJ/mol of atoms, the structures come out at one 17.5; two 0.0.

---

one:
The following is a DFT calculation (PBEsol) of crystalline Li2ZrW at its relaxed geometry.

Lattice parameters (Å, degrees): 2.653 5.098 5.157 90.00 90.00 98.60
Element x y z (fractional)
W: 0.000 0.500 0.500
Li: 0.745 0.727 0.000
Li: 0.255 0.273 0.000
Zr: 0.500 0.000 0.500

Results
- M_tot: 0.000 μB per atom

---

two:
The following is a DFT calculation (PBEsol) of crystalline Li2ZrW at its relaxed geometry.

Lattice parameters (Å, degrees): 2.717 5.230 5.349 112.75 90.00 105.05
Element x y z (fractional)
Li: 0.010 0.019 0.092
Li: 0.751 0.501 0.165
W: 0.492 0.983 0.571
Zr: 0.248 0.496 0.672

Results
- M_tot: 0.000 μB per atom

---

Relative to the most stable one, in kJ/mol of atoms, the structures come out at one 0.0; two 7.2.